one:
Crystalline KLiTl at its relaxed geometry, computed with GGA-PBE.

Total moment   0.0 μB per cell
ρ   4.371 g cm⁻³
Fermi-level density of states   1.76 states/eV/f.u.
Symmetry   P3m1

a b c (Å): 5.702 5.702 3.378
angles (deg): 90.00 90.00 120.00
Element x y z (fractional)
K  0.000  0.000  0.001
Li  0.667  0.333  0.500
Tl  0.333  0.667  0.499

two:
Crystalline KLiTl at its relaxed geometry, computed with GGA-PBE.

Total moment   0.0 μB per cell
ρ   3.815 g cm⁻³
Fermi-level density of states   1.20 states/eV/f.u.
Symmetry   C2/m

a b c (Å): 4.422 4.422 11.997
angles (deg): 80.15 80.15 71.99
Element x y z (fractional)
K  0.188  0.188  0.664
K  0.812  0.812  0.336
Li  0.844  0.844  0.952
Li  0.156  0.156  0.048
Tl  0.501  0.501  0.138
Tl  0.499  0.499  0.862

three:
Crystalline KLiTl at its relaxed geometry, computed with GGA-PBE.

Total moment   0.0 μB per cell
ρ   4.254 g cm⁻³
Fermi-level density of states   1.78 states/eV/f.u.
Symmetry   Imm2

a b c (Å): 6.967 6.967 6.967
angles (deg): 149.15 145.55 46.92
Element x y z (fractional)
Tl  0.711  0.711  0.000
K  0.005  0.005  0.000
Li  0.284  0.284  0.000

four:
Crystalline KLiTl at its relaxed geometry, computed with GGA-PBE.

Total moment   0.0 μB per cell
ρ   4.044 g cm⁻³
Fermi-level density of states   1.43 states/eV/f.u.
Symmetry   P4/nmm

a b c (Å): 5.175 5.175 7.680
angles (deg): 90.00 90.00 90.00
Element x y z (fractional)
K  0.000  0.500  0.846
K  0.500  0.000  0.154
Tl  0.000  0.500  0.345
Tl  0.500  0.000  0.655
Li  0.500  0.500  0.500
Li  0.000  0.000  0.500

The structure with the least stability is one.

one:
Crystalline KLi3Tl at its relaxed geometry, computed with GGA-PBE.

Total moment   0.0 μB per cell
ρ   2.480 g cm⁻³
Fermi-level density of states   2.86 states/eV/f.u.
Symmetry   Pm-3m

a b c (Å): 5.614 5.614 5.614
angles (deg): 90.00 90.00 90.00
Element x y z (fractional)
Tl  0.500  0.500  0.500
K  0.000  0.000  0.000
Li  0.000  0.500  0.000
Li  0.000  0.000  0.500
Li  0.500  0.000  0.000

two:
Crystalline KLi3Tl at its relaxed geometry, computed with GGA-PBE.

Total moment   0.0 μB per cell
ρ   2.756 g cm⁻³
Fermi-level density of states   4.38 states/eV/f.u.
Symmetry   Pm-3m

a b c (Å): 5.421 5.421 5.421
angles (deg): 90.00 90.00 90.00
Element x y z (fractional)
Tl  0.000  0.000  0.000
K  0.500  0.500  0.500
Li  0.000  0.500  0.000
Li  0.000  0.000  0.500
Li  0.500  0.000  0.000

The structure with the least stability is one.

one:
Crystalline K2LiTl2 at its relaxed geometry, computed with GGA-PBE.

Total moment   0.0 μB per cell
ρ   4.227 g cm⁻³
Fermi-level density of states   3.83 states/eV/f.u.
Symmetry   P4/mbm

a b c (Å): 10.365 10.365 3.612
angles (deg): 90.00 90.00 90.00
Element x y z (fractional)
Tl  0.114  0.614  0.500
Tl  0.614  0.886  0.500
Tl  0.886  0.386  0.500
Tl  0.386  0.114  0.500
K  0.320  0.820  0.000
K  0.820  0.680  0.000
K  0.680  0.180  0.000
K  0.180  0.320  0.000
Li  0.000  0.000  0.000
Li  0.500  0.500  0.000

two:
Crystalline K2LiTl2 at its relaxed geometry, computed with GGA-PBE.

Total moment   0.0 μB per cell
ρ   3.666 g cm⁻³
Fermi-level density of states   4.48 states/eV/f.u.
Symmetry   R-3m

a b c (Å): 4.990 4.990 10.767
angles (deg): 76.60 76.60 60.00
Element x y z (fractional)
K  0.430  0.430  0.711
K  0.570  0.570  0.289
Li  0.000  0.000  0.000
Tl  0.688  0.688  0.935
Tl  0.312  0.312  0.065

three:
Crystalline K2LiTl2 at its relaxed geometry, computed with GGA-PBE.

Total moment   0.0 μB per cell
ρ   4.475 g cm⁻³
Fermi-level density of states   3.03 states/eV/f.u.
Symmetry   P4/mbm

a b c (Å): 7.748 7.748 6.106
angles (deg): 90.00 90.00 90.00
Element x y z (fractional)
Tl  0.359  0.859  0.000
Tl  0.859  0.641  0.000
Tl  0.641  0.141  0.000
Tl  0.141  0.359  0.000
K  0.177  0.677  0.500
K  0.677  0.823  0.500
K  0.823  0.323  0.500
K  0.323  0.177  0.500
Li  0.000  0.000  0.000
Li  0.500  0.500  0.000

The structure with the least stability is one.

one:
Crystalline KLi2V at its relaxed geometry, computed with GGA-PBE.

Total moment   4.8 μB per cell
ρ   1.576 g cm⁻³
Fermi-level density of states   5.93 states/eV/f.u.
Symmetry   Fm-3m

a b c (Å): 5.370 5.370 5.370
angles (deg): 60.00 60.00 60.00
Site moments in Bohr magnetons follow the coordinates.
Element x y z (fractional)
K  0.000  0.000  0.000  0.04
V  0.500  0.500  0.500  3.14
Li  0.250  0.250  0.250  0.05
Li  0.750  0.750  0.750  0.05

two:
Crystalline KLi2V at its relaxed geometry, computed with GGA-PBE.

Total moment   9.0 μB per cell
ρ   1.493 g cm⁻³
Fermi-level density of states   5.50 states/eV/f.u.
Symmetry   I-42d

a b c (Å): 8.296 8.296 6.760
angles (deg): 52.15 52.15 90.00
Site moments in Bohr magnetons follow the coordinates.
Element x y z (fractional)
K  0.500  0.500  0.000  0.03
K  0.250  0.750  0.500  0.03
V  0.000  0.000  0.000  3.14
V  0.750  0.250  0.500  3.14
Li  0.666  0.125  0.250  0.05
Li  0.084  0.625  0.250  0.05
Li  0.375  0.334  0.750  0.05
Li  0.875  0.916  0.750  0.05

The structure with the least stability is two.

one:
Crystalline KLi3V at its relaxed geometry, computed with GGA-PBE.

Total moment   4.0 μB per cell
ρ   1.434 g cm⁻³
Fermi-level density of states   3.86 states/eV/f.u.
Symmetry   Pm-3m

a b c (Å): 5.044 5.044 5.044
angles (deg): 90.00 90.00 90.00
Site moments in Bohr magnetons follow the coordinates.
Element x y z (fractional)
K  0.000  0.000  0.000  0.01
V  0.500  0.500  0.500  2.99
Li  0.000  0.500  0.000  0.01
Li  0.000  0.000  0.500  0.01
Li  0.500  0.000  0.000  0.01

two:
Crystalline KLi3V at its relaxed geometry, computed with GGA-PBE.

Total moment   5.2 μB per cell
ρ   1.158 g cm⁻³
Fermi-level density of states   6.10 states/eV/f.u.
Symmetry   Pm-3m

a b c (Å): 5.418 5.418 5.418
angles (deg): 90.00 90.00 90.00
Site moments in Bohr magnetons follow the coordinates.
Element x y z (fractional)
K  0.500  0.500  0.500  0.01
V  0.000  0.000  0.000  3.23
Li  0.000  0.500  0.000  0.08
Li  0.000  0.000  0.500  0.08
Li  0.500  0.000  0.000  0.08

The structure with the least stability is one.

one:
Crystalline KLi2W at its relaxed geometry, computed with GGA-PBE.

Total moment   0.0 μB per cell
ρ   4.781 g cm⁻³
Fermi-level density of states   2.59 states/eV/f.u.
Symmetry   P4mm

a b c (Å): 2.805 2.805 10.456
angles (deg): 90.00 90.00 90.00
Element x y z (fractional)
K  0.500  0.500  0.734
Li  0.000  0.000  0.051
Li  0.500  0.500  0.262
W  0.000  0.000  0.453

two:
Crystalline KLi2W at its relaxed geometry, computed with GGA-PBE.

Total moment   0.0 μB per cell
ρ   4.725 g cm⁻³
Fermi-level density of states   3.29 states/eV/f.u.
Symmetry   Pmm2

a b c (Å): 2.602 5.322 6.011
angles (deg): 90.00 90.00 90.00
Element x y z (fractional)
K  0.500  0.500  0.784
Li  0.000  0.000  0.979
Li  0.500  0.500  0.304
W  0.000  0.000  0.432

three:
Crystalline KLi2W at its relaxed geometry, computed with GGA-PBE.

Total moment   4.5 μB per cell
ρ   3.860 g cm⁻³
Fermi-level density of states   1.70 states/eV/f.u.
Symmetry   Fm-3m

a b c (Å): 5.243 5.243 5.243
angles (deg): 60.00 60.00 60.00
Site moments in Bohr magnetons follow the coordinates.
Element x y z (fractional)
K  0.000  0.000  0.000  0.03
W  0.500  0.500  0.500  3.01
Li  0.250  0.250  0.250  0.02
Li  0.750  0.750  0.750  0.02

The structure with the least stability is three.

one:
Crystalline KLi2W at its relaxed geometry, computed with GGA-PBE.

Total moment   0.0 μB per cell
ρ   4.668 g cm⁻³
Fermi-level density of states   4.00 states/eV/f.u.
Symmetry   P4/mmm

a b c (Å): 2.810 2.810 10.666
angles (deg): 90.00 90.00 90.00
Element x y z (fractional)
K  0.500  0.500  0.750
Li  0.000  0.000  0.055
Li  0.000  0.000  0.445
W  0.500  0.500  0.250

two:
Crystalline KLi2W at its relaxed geometry, computed with GGA-PBE.

Total moment   0.0 μB per cell
ρ   4.912 g cm⁻³
Fermi-level density of states   3.73 states/eV/f.u.
Symmetry   Cmmm

a b c (Å): 8.064 5.527 2.625
angles (deg): 90.05 70.93 130.69
Element x y z (fractional)
K  0.500  0.500  0.000
Li  0.000  0.000  0.000
Li  0.500  0.000  0.500
W  0.000  0.500  0.500

The structure with the least stability is two.

one:
Crystalline KLi2W at its relaxed geometry, computed with GGA-PBE.

Total moment   0.0 μB per cell
ρ   4.739 g cm⁻³
Fermi-level density of states   2.19 states/eV/f.u.
Symmetry   Cmm2

a b c (Å): 2.794 2.794 11.422
angles (deg): 90.00 90.00 111.45
Element x y z (fractional)
K  0.500  0.500  0.736
Li  0.000  0.000  0.032
Li  0.500  0.500  0.263
W  0.000  0.000  0.469

two:
Crystalline KLi2W at its relaxed geometry, computed with GGA-PBE.

Total moment   1.0 μB per cell
ρ   4.647 g cm⁻³
Fermi-level density of states   2.59 states/eV/f.u.
Symmetry   Cm

a b c (Å): 5.534 5.534 5.948
angles (deg): 85.83 85.83 27.77
Site moments in Bohr magnetons follow the coordinates.
Element x y z (fractional)
K  0.748  0.748  0.780  0.01
Li  0.994  0.994  0.000  0.01
Li  0.250  0.250  0.295  0.00
W  0.509  0.509  0.424  0.72

The structure with the least stability is two.